Arrangement i

HoTmTh2: relaxed, PBE.

space-group type = Fm-3m (225)

Cell lengths 5.624, 5.624, 5.624 Å; angles 60.00, 60.00, 60.00 degrees
Sites, in units of the cell vectors:
Ho 0.000 0.000 0.000
Tm 0.500 0.500 0.500
Th 0.250 0.250 0.250
Th 0.750 0.750 0.750

Arrangement ii

HoTmTh2: relaxed, PBE.

space-group type = Pmma (51)

Cell lengths 5.035, 5.027, 9.997 Å; angles 90.00, 90.00, 90.00 degrees
Sites, in units of the cell vectors:
Ho 0.250 0.000 0.127
Ho 0.750 0.000 0.873
Tm 0.250 0.500 0.873
Tm 0.750 0.500 0.127
Th 0.250 0.000 0.625
Th 0.250 0.500 0.376
Th 0.750 0.000 0.375
Th 0.750 0.500 0.624

Arrangement iii

HoTmTh2: relaxed, PBE.

space-group type = P4/mmm (123)

Cell lengths 5.016, 5.016, 5.011 Å; angles 90.00, 90.00, 90.00 degrees
Sites, in units of the cell vectors:
Ho 0.000 0.000 0.000
Tm 0.500 0.500 0.000
Th 0.000 0.500 0.500
Th 0.500 0.000 0.500

We find arrangement ii to be the most stable, with the next structure 6 meV/atom higher.